Here is an optimized crystal structure of PmGa4Pd2Rh from Alexandria via LeMat-Bulk. Energies are from PBE.

The structure in CIF format:
```
data_PmGa4Pd2Rh
_chemical_formula_sum 'Pm1 Ga4 Pd2 Rh1'
_cell_length_a 4.287
_cell_length_b 4.287
_cell_length_c 9.175
_cell_angle_alpha 76.49
_cell_angle_beta 76.49
_cell_angle_gamma 60.00
_symmetry_space_group_name_H-M 'P 1'
_symmetry_Int_Tables_number 1
loop_
_symmetry_equiv_pos_as_xyz
'x,y,z'
loop_
_atom_site_label
_atom_site_fract_x
_atom_site_fract_y
_atom_site_fract_z
_atom_site_occupancy
Rh1 0.500 0.500 0.500 1
Pd1 0.765 0.765 0.706 1
Ga1 0.600 0.600 0.201 1
Pd2 0.235 0.235 0.294 1
Ga2 0.867 0.867 0.398 1
Ga3 0.400 0.400 0.799 1
Pm1 0.000 0.000 0.000 1
Ga4 0.133 0.133 0.602 1
```

Values from the calculation:
calculated density	8.7	g cm⁻³
total DFT energy (no corrections)	-4.999	eV per atom
calculated formation energy	-674	meV per atom
total magnetization	0.000	μB per atom
N(E_F)	0.61	states/eV per atom

---

Here is an optimized crystal structure of La2Fe2Ge2N from Alexandria via LeMat-Bulk. Energies are from PBE.

The structure in CIF format:
```
data_La2Fe2Ge2N
_chemical_formula_sum 'La2 Fe2 Ge2 N1'
_cell_length_a 4.015
_cell_length_b 5.904
_cell_length_c 6.187
_cell_angle_alpha 72.45
_cell_angle_beta 71.07
_cell_angle_gamma 70.12
_symmetry_space_group_name_H-M 'P 1'
_symmetry_Int_Tables_number 1
loop_
_symmetry_equiv_pos_as_xyz
'x,y,z'
loop_
_atom_site_label
_atom_site_fract_x
_atom_site_fract_y
_atom_site_fract_z
_atom_site_occupancy
N1 0.000 0.000 0.000 1
Ge1 0.820 0.627 0.733 1
Fe1 0.183 0.704 0.930 1
La1 0.445 0.817 0.293 1
Ge2 0.180 0.373 0.267 1
La2 0.555 0.183 0.707 1
Fe2 0.817 0.296 0.070 1
```

Values from the calculation:
calculated density	7.2	g cm⁻³
total DFT energy (no corrections)	-7.075	eV per atom
energy relative to the elements, uncorrected	-500	kJ/mol of formula units
total magnetization	0.001	μB per atom
N(E_F)	0.65	states/eV per atom

---

Q: Which formula does entry 2 have?
A: La2Fe2Ge2N

---

Q: Which of these has the highest total magnetization?
A: La2Fe2Ge2N

---

Q: What is the total magnetization in the first record?
A: 0.000 μB per atom